Record 1
# YTa2Se

Crystalline YTa2Se at its relaxed geometry (PBE, Alexandria via LeMat-Bulk).

CIF file:
```
data_YTa2Se
_space_group_name_H-M_alt 'P m m m'
_space_group_IT_number 47
_space_group_name_Hall '-P 2 2'
_cell_length_a 3.465
_cell_length_b 4.483
_cell_length_c 5.299
_cell_angle_alpha 90.00
_cell_angle_beta 90.00
_cell_angle_gamma 90.00
loop_
_atom_site_label
_atom_site_type_symbol
_atom_site_fract_x
_atom_site_fract_y
_atom_site_fract_z
Y1 Y 0.000 0.000 0.000
Ta1 Ta 0.000 0.500 0.500
Ta2 Ta 0.500 0.000 0.500
Se1 Se 0.500 0.500 0.000
```

Values from the calculation:
Fermi-level density of states ... 5.6 states/eV/f.u.
Formation energy (no corrections) ... 0.01 eV/atom


Record 2
# La2Cd2Ag

Crystalline La2Cd2Ag at its relaxed geometry (PBE, Alexandria via LeMat-Bulk).

CIF file:
```
data_La2Cd2Ag
_space_group_name_H-M_alt 'C 1 2/m 1'
_space_group_IT_number 12
_space_group_name_Hall '-C 2y'
_cell_length_a 11.168
_cell_length_b 4.974
_cell_length_c 10.915
_cell_angle_alpha 90.00
_cell_angle_beta 111.26
_cell_angle_gamma 90.00
loop_
_atom_site_label
_atom_site_type_symbol
_atom_site_fract_x
_atom_site_fract_y
_atom_site_fract_z
La1 La 0.028 0.000 0.345
La2 La 0.178 0.000 0.103
Cd1 Cd 0.023 0.500 0.876
Cd2 Cd 0.141 0.500 0.575
Ag1 Ag 0.229 0.500 0.333
```

Values from the calculation:
Fermi-level density of states ... 4.3 states/eV/f.u.
Calculated formation energy ... -0.284 eV per atom


Record 3
# Sr5W4

Crystalline Sr5W4 at its relaxed geometry (PBE, Alexandria via LeMat-Bulk).

CIF file:
```
data_Sr5W4
_space_group_name_H-M_alt 'I 4/m m m'
_space_group_IT_number 139
_space_group_name_Hall '-I 4 2'
_cell_length_a 10.999
_cell_length_b 10.999
_cell_length_c 4.565
_cell_angle_alpha 90.00
_cell_angle_beta 90.00
_cell_angle_gamma 90.00
loop_
_atom_site_label
_atom_site_type_symbol
_atom_site_fract_x
_atom_site_fract_y
_atom_site_fract_z
Sr1 Sr 0.000 0.000 0.000
Sr2 Sr 0.175 0.175 0.500
W1 W 0.000 0.393 0.000
```

Values from the calculation:
Fermi-level density of states ... 10.1 states/eV/f.u.
Calculated formation energy ... 0.929 eV per atom


Record 4
# EuTl2Ag

Crystalline EuTl2Ag at its relaxed geometry (PBE, Alexandria via LeMat-Bulk).

CIF file:
```
data_EuTl2Ag
_space_group_name_H-M_alt 'P 4/m m m'
_space_group_IT_number 123
_space_group_name_Hall '-P 4 2'
_cell_length_a 4.821
_cell_length_b 4.821
_cell_length_c 4.684
_cell_angle_alpha 90.00
_cell_angle_beta 90.00
_cell_angle_gamma 90.00
loop_
_atom_site_label
_atom_site_type_symbol
_atom_site_fract_x
_atom_site_fract_y
_atom_site_fract_z
Eu1 Eu 0.000 0.000 0.000
Tl1 Tl 0.000 0.500 0.500
Ag1 Ag 0.500 0.500 0.000
```

Values from the calculation:
Fermi-level density of states ... 9.0 states/eV/f.u.
Calculated formation energy ... -0.178 eV per atom


Record 5
# Al2GeCl

Crystalline Al2GeCl at its relaxed geometry (PBE, Alexandria via LeMat-Bulk).

CIF file:
```
data_Al2GeCl
_space_group_name_H-M_alt 'F m -3 m'
_space_group_IT_number 225
_space_group_name_Hall '-F 4 2 3'
_cell_length_a 6.662
_cell_length_b 6.662
_cell_length_c 6.662
_cell_angle_alpha 90.00
_cell_angle_beta 90.00
_cell_angle_gamma 90.00
loop_
_atom_site_label
_atom_site_type_symbol
_atom_site_fract_x
_atom_site_fract_y
_atom_site_fract_z
Al1 Al 0.250 0.250 0.250
Ge1 Ge 0.000 0.000 0.000
Cl1 Cl 0.000 0.000 0.500
```

Values from the calculation:
Fermi-level density of states ... 1.6 states/eV/f.u.
Formation energy (no corrections) ... 0.07 eV/atom


Record 6
# CuNi

Crystalline CuNi at its relaxed geometry (PBE, Alexandria via LeMat-Bulk).

CIF file:
```
data_CuNi
_space_group_name_H-M_alt 'P n m a'
_space_group_IT_number 62
_space_group_name_Hall '-P 2ac 2n'
_cell_length_a 4.339
_cell_length_b 4.145
_cell_length_c 5.048
_cell_angle_alpha 90.00
_cell_angle_beta 90.00
_cell_angle_gamma 90.00
loop_
_atom_site_label
_atom_site_type_symbol
_atom_site_fract_x
_atom_site_fract_y
_atom_site_fract_z
Cu1 Cu 0.083 0.250 0.125
Ni1 Ni 0.078 0.250 0.626
```

Values from the calculation:
Fermi-level density of states ... 3.1 states/eV/f.u.
Calculated formation energy ... 0.045 eV per atom


Record 7
# Y9Er11Sc4

Crystalline Y9Er11Sc4 at its relaxed geometry (PBE, Alexandria via LeMat-Bulk).

CIF file:
```
data_Y9Er11Sc4
_space_group_name_H-M_alt 'C m m m'
_space_group_IT_number 65
_space_group_name_Hall '-C 2 2'
_cell_length_a 16.455
_cell_length_b 24.824
_cell_length_c 3.592
_cell_angle_alpha 90.00
_cell_angle_beta 90.00
_cell_angle_gamma 90.00
loop_
_atom_site_label
_atom_site_type_symbol
_atom_site_fract_x
_atom_site_fract_y
_atom_site_fract_z
Y1 Y 0.000 0.000 0.000
Y2 Y 0.103 0.232 0.000
Y3 Y 0.145 0.428 0.000
Er1 Er 0.000 0.130 0.500
Er2 Er 0.000 0.341 0.500
Er3 Er 0.000 0.500 0.500
Er4 Er 0.202 0.000 0.500
Er5 Er 0.228 0.320 0.500
Sc1 Sc 0.155 0.101 0.000
```

Values from the calculation:
Fermi-level density of states ... 34.0 states/eV/f.u.
Calculated formation energy ... 0.041 eV per atom


Record 8
# CeErIrPt

Crystalline CeErIrPt at its relaxed geometry (PBE, Alexandria via LeMat-Bulk).

CIF file:
```
data_CeErIrPt
_space_group_name_H-M_alt 'F -4 3 m'
_space_group_IT_number 216
_space_group_name_Hall 'F -4 2 3'
_cell_length_a 6.982
_cell_length_b 6.982
_cell_length_c 6.982
_cell_angle_alpha 90.00
_cell_angle_beta 90.00
_cell_angle_gamma 90.00
loop_
_atom_site_label
_atom_site_type_symbol
_atom_site_fract_x
_atom_site_fract_y
_atom_site_fract_z
Ce1 Ce 0.000 0.000 0.000
Er1 Er 0.000 0.000 0.500
Ir1 Ir 0.250 0.250 0.250
Pt1 Pt 0.250 0.250 0.750
```

Values from the calculation:
Fermi-level density of states ... 6.4 states/eV/f.u.
Calculated formation energy ... -0.916 eV per atom